No. 1
A plane-wave DFT calculation with GGA-PBE was carried out for a relaxed Rb2LiGaBr6 crystal.

abc: 6.562 7.572 7.572
angles: 120.00 90.00 90.00
Positions (direct):
Rb (0.210, 0.333, 0.667)
Rb (0.790, 0.667, 0.333)
Li (0.500, 0.000, 0.000)
Ga (0.000, 0.000, 0.000)
Br (0.768, 0.159, 0.318)
Br (0.768, 0.159, 0.841)
Br (0.768, 0.682, 0.841)
Br (0.232, 0.841, 0.159)
Br (0.232, 0.318, 0.159)
Br (0.232, 0.841, 0.682)

Summary:
The value obtained for the excess energy over the best structure of this formula in the dataset is 0.0 meV per atom. The space-group type is No. 164. As for the volume: 32.58 A^3/atom.

---

No. 2
A plane-wave DFT calculation with GGA-PBE was carried out for a relaxed RbLiGa2Br8 crystal.

abc: 6.827 6.827 10.720
angles: 71.43 71.43 60.00
Positions (direct):
Rb (0.500, 0.500, 0.500)
Li (0.000, 0.000, 0.000)
Ga (0.254, 0.254, 0.239)
Ga (0.746, 0.746, 0.761)
Br (0.174, 0.174, 0.477)
Br (0.609, 0.277, 0.169)
Br (0.826, 0.826, 0.523)
Br (0.945, 0.609, 0.169)
Br (0.055, 0.391, 0.831)
Br (0.277, 0.945, 0.169)
Br (0.723, 0.055, 0.831)
Br (0.391, 0.723, 0.831)

Summary:
The space-group type is No. 148. As for the volume: 33.53 A^3/atom.

---

No. 3
A plane-wave DFT calculation with GGA-PBE was carried out for a relaxed Rb2LiGaBr6 crystal.

abc: 7.577 7.577 7.587
angles: 60.04 60.04 90.00
Positions (direct):
Ga (0.000, 0.000, 0.000)
Br (0.240, 0.240, 0.520)
Br (0.760, 0.760, 0.480)
Br (0.241, 0.241, 0.000)
Br (0.759, 0.759, 0.000)
Br (0.759, 0.241, 0.000)
Br (0.241, 0.759, 0.000)
Rb (0.750, 0.250, 0.500)
Rb (0.250, 0.750, 0.500)
Li (0.500, 0.500, 0.000)

Summary:
The value obtained for the excess energy over the best structure of this formula in the dataset is 36.8 meV per atom. The space-group type is No. 139. As for the volume: 30.84 A^3/atom.

---

No. 4
A plane-wave DFT calculation with GGA-PBE was carried out for a relaxed LiGaRhBr2 crystal.

abc: 5.392 4.684 5.392
angles: 90.00 90.00 90.00
Positions (direct):
Rh (0.000, 0.000, 0.000)
Ga (0.000, 0.500, 0.000)
Br (0.000, 0.000, 0.500)
Br (0.500, 0.000, 0.000)
Li (0.500, 0.500, 0.500)

Summary:
The space-group type is No. 123. As for the volume: 27.23 A^3/atom.

---

No. 5
A plane-wave DFT calculation with GGA-PBE was carried out for a relaxed Li2ScGaBr crystal.

abc: 4.543 6.028 4.543
angles: 90.00 90.00 90.00
Positions (direct):
Sc (0.500, 0.500, 0.500)
Ga (0.000, 0.500, 0.000)
Br (0.000, 0.000, 0.000)
Li (0.000, 0.000, 0.500)
Li (0.500, 0.000, 0.000)

Summary:
The space-group type is No. 123. As for the volume: 24.88 A^3/atom.

---

No. 6
A plane-wave DFT calculation with GGA-PBE was carried out for a relaxed LiGaSe2Br crystal.

abc: 4.945 4.945 5.630
angles: 90.00 90.00 90.00
Positions (direct):
Ga (0.000, 0.000, 0.000)
Se (0.000, 0.500, 0.000)
Se (0.500, 0.000, 0.000)
Br (0.000, 0.000, 0.500)
Li (0.500, 0.500, 0.500)

Summary:
The value obtained for the excess energy over the best structure of this formula in the dataset is 0.0 meV per atom. The space-group type is No. 123. As for the volume: 27.53 A^3/atom.

---

No. 7
A plane-wave DFT calculation with GGA-PBE was carried out for a relaxed LiGaSe2Br crystal.

abc: 4.478 4.478 6.917
angles: 90.00 90.00 90.00
Positions (direct):
Ga (0.500, 0.500, 0.500)
Se (0.000, 0.500, 0.000)
Se (0.500, 0.000, 0.000)
Br (0.000, 0.000, 0.500)
Li (0.000, 0.000, 0.000)

Summary:
The value obtained for the excess energy over the best structure of this formula in the dataset is 204.7 meV per atom. The space-group type is No. 123. As for the volume: 27.75 A^3/atom.

---

No. 8
A plane-wave DFT calculation with GGA-PBE was carried out for a relaxed Li2SmGaBr6 crystal.

abc: 7.236 7.235 7.811
angles: 62.39 62.39 60.00
Positions (direct):
Li (0.513, 0.513, 0.460)
Li (0.010, 0.010, 0.971)
Sm (0.321, 0.321, 0.038)
Ga (0.810, 0.810, 0.569)
Br (0.606, 0.249, 0.241)
Br (0.249, 0.904, 0.241)
Br (0.904, 0.606, 0.241)
Br (0.363, 0.741, 0.751)
Br (0.741, 0.145, 0.751)
Br (0.145, 0.363, 0.751)

Summary:
The space-group type is No. 146. As for the volume: 29.92 A^3/atom.

---

No. 9
A plane-wave DFT calculation with GGA-PBE was carried out for a relaxed LiGa2SnBr5 crystal.

abc: 4.292 9.627 13.968
angles: 90.00 90.00 102.88
Positions (direct):
Li (0.556, 0.111, 0.927)
Li (0.444, 0.889, 0.427)
Ga (0.873, 0.745, 0.825)
Ga (0.077, 0.154, 0.657)
Ga (0.127, 0.255, 0.325)
Ga (0.923, 0.846, 0.157)
Sn (0.789, 0.579, 0.539)
Sn (0.211, 0.421, 0.039)
Br (0.364, 0.728, 0.999)
Br (0.692, 0.383, 0.891)
Br (0.493, 0.986, 0.769)
Br (0.285, 0.571, 0.691)
Br (0.956, 0.912, 0.526)
Br (0.636, 0.272, 0.499)
Br (0.308, 0.617, 0.391)
Br (0.507, 0.014, 0.269)
Br (0.715, 0.429, 0.191)
Br (0.044, 0.088, 0.026)

Summary:
The space-group type is No. 36. As for the volume: 31.26 A^3/atom.

---

No. 10
A plane-wave DFT calculation with GGA-PBE was carried out for a relaxed LiGaSnBr4 crystal.

abc: 7.208 7.833 8.337
angles: 90.00 106.69 90.00
Positions (direct):
Li (0.255, 0.750, 0.311)
Li (0.745, 0.250, 0.689)
Ga (0.791, 0.750, 0.947)
Ga (0.209, 0.250, 0.053)
Sn (0.793, 0.750, 0.453)
Sn (0.207, 0.250, 0.547)
Br (0.986, 0.495, 0.739)
Br (0.014, 0.995, 0.261)
Br (0.014, 0.505, 0.261)
Br (0.986, 0.005, 0.739)
Br (0.490, 0.750, 0.141)
Br (0.510, 0.250, 0.859)
Br (0.483, 0.750, 0.605)
Br (0.517, 0.250, 0.395)

Summary:
The space-group type is No. 11. As for the volume: 32.20 A^3/atom.

---

No. 11
A plane-wave DFT calculation with GGA-PBE was carried out for a relaxed Li2TbGaBr6 crystal.

abc: 7.190 7.190 7.794
angles: 62.52 62.52 59.99
Positions (direct):
Li (0.514, 0.514, 0.457)
Li (0.008, 0.008, 0.976)
Tb (0.323, 0.323, 0.032)
Ga (0.811, 0.811, 0.567)
Br (0.598, 0.251, 0.240)
Br (0.251, 0.911, 0.240)
Br (0.911, 0.598, 0.240)
Br (0.364, 0.739, 0.754)
Br (0.739, 0.143, 0.754)
Br (0.143, 0.364, 0.754)

Summary:
The space-group type is No. 146. As for the volume: 29.53 A^3/atom.

---

No. 12
A plane-wave DFT calculation with GGA-PBE was carried out for a relaxed Li2YGaBr6 crystal.

abc: 7.181 7.181 7.790
angles: 62.55 62.54 60.00
Positions (direct):
Li (0.514, 0.515, 0.456)
Li (0.008, 0.008, 0.977)
Y (0.323, 0.323, 0.031)
Ga (0.811, 0.811, 0.566)
Br (0.596, 0.251, 0.240)
Br (0.251, 0.913, 0.240)
Br (0.913, 0.596, 0.240)
Br (0.365, 0.738, 0.755)
Br (0.738, 0.142, 0.755)
Br (0.142, 0.365, 0.755)

Summary:
The space-group type is No. 146. As for the volume: 29.45 A^3/atom.

---

No. 13
A plane-wave DFT calculation with GGA-PBE was carried out for a relaxed LiZn2GaBr6 crystal.

abc: 7.452 9.638 9.638
angles: 87.65 76.23 76.23
Positions (direct):
Li (0.250, 0.217, 0.783)
Li (0.750, 0.783, 0.217)
Zn (0.290, 0.772, 0.616)
Zn (0.210, 0.384, 0.228)
Zn (0.710, 0.228, 0.384)
Zn (0.790, 0.616, 0.772)
Ga (0.250, 0.883, 0.117)
Ga (0.750, 0.117, 0.883)
Br (0.175, 0.959, 0.802)
Br (0.325, 0.198, 0.041)
Br (0.825, 0.041, 0.198)
Br (0.675, 0.802, 0.959)
Br (0.421, 0.862, 0.385)
Br (0.079, 0.615, 0.138)
Br (0.579, 0.138, 0.615)
Br (0.921, 0.385, 0.862)
Br (0.011, 0.696, 0.571)
Br (0.489, 0.429, 0.304)
Br (0.989, 0.304, 0.429)
Br (0.511, 0.571, 0.696)

Summary:
The space-group type is No. 15. As for the volume: 32.64 A^3/atom.

---

No. 14
A plane-wave DFT calculation with GGA-PBE was carried out for a relaxed Li2ZrGaBr crystal.

abc: 4.424 5.358 4.424
angles: 90.00 90.00 90.00
Positions (direct):
Ga (0.500, 0.500, 0.500)
Br (0.000, 0.000, 0.000)
Zr (0.000, 0.500, 0.000)
Li (0.000, 0.000, 0.500)
Li (0.500, 0.000, 0.000)

Summary:
The space-group type is No. 123. As for the volume: 20.97 A^3/atom.

---

No. 15
A plane-wave DFT calculation with GGA-PBE was carried out for a relaxed LuGaBr2 crystal.

abc: 3.920 3.920 9.891
angles: 78.57 78.57 60.00
Positions (direct):
Lu (0.000, 0.000, 0.000)
Ga (0.500, 0.500, 0.500)
Br (0.094, 0.094, 0.719)
Br (0.906, 0.906, 0.281)

Summary:
The space-group type is No. 166. As for the volume: 32.04 A^3/atom.

---

No. 16
A plane-wave DFT calculation with GGA-PBE was carried out for a relaxed MgGaBr3 crystal.

abc: 5.322 5.322 5.322
angles: 90.00 90.00 90.00
Positions (direct):
Mg (0.500, 0.500, 0.500)
Ga (0.000, 0.000, 0.000)
Br (0.000, 0.500, 0.000)
Br (0.000, 0.000, 0.500)
Br (0.500, 0.000, 0.000)

Summary:
The value obtained for the excess energy over the best structure of this formula in the dataset is 675.2 meV per atom. The space-group type is No. 221. As for the volume: 30.14 A^3/atom.

---

No. 17
A plane-wave DFT calculation with GGA-PBE was carried out for a relaxed MgGaBr3 crystal.

abc: 4.517 7.937 10.543
angles: 105.89 90.00 90.00
Positions (direct):
Mg (0.250, 0.124, 0.162)
Mg (0.750, 0.876, 0.838)
Ga (0.250, 0.283, 0.572)
Ga (0.750, 0.717, 0.428)
Br (0.750, 0.049, 0.672)
Br (0.750, 0.571, 0.669)
Br (0.250, 0.951, 0.328)
Br (0.250, 0.429, 0.331)
Br (0.250, 0.816, 0.952)
Br (0.750, 0.184, 0.048)

Summary:
The value obtained for the excess energy over the best structure of this formula in the dataset is 49.7 meV per atom. The space-group type is No. 11. As for the volume: 36.35 A^3/atom.

---

No. 18
A plane-wave DFT calculation with GGA-PBE was carried out for a relaxed MgGaBr3 crystal.

abc: 3.964 9.859 15.381
angles: 90.00 90.00 90.00
Positions (direct):
Mg (0.250, 0.656, 0.552)
Mg (0.750, 0.344, 0.448)
Mg (0.750, 0.844, 0.052)
Mg (0.250, 0.156, 0.948)
Ga (0.250, 0.027, 0.333)
Ga (0.750, 0.973, 0.667)
Ga (0.750, 0.473, 0.833)
Ga (0.250, 0.527, 0.167)
Br (0.750, 0.230, 0.292)
Br (0.250, 0.679, 0.997)
Br (0.250, 0.019, 0.101)
Br (0.250, 0.519, 0.399)
Br (0.250, 0.179, 0.503)
Br (0.750, 0.481, 0.601)
Br (0.250, 0.270, 0.792)
Br (0.750, 0.981, 0.899)
Br (0.750, 0.321, 0.003)
Br (0.750, 0.730, 0.208)
Br (0.750, 0.821, 0.497)
Br (0.250, 0.770, 0.708)

Summary:
The value obtained for the excess energy over the best structure of this formula in the dataset is 0.0 meV per atom. The space-group type is No. 62. As for the volume: 30.06 A^3/atom.

---

No. 19
A plane-wave DFT calculation with GGA-PBE was carried out for a relaxed Mg2Ga2Br crystal.

abc: 8.115 8.115 3.388
angles: 90.00 90.00 90.00
Positions (direct):
Mg (0.309, 0.809, 0.000)
Mg (0.809, 0.691, 0.000)
Mg (0.691, 0.191, 0.000)
Mg (0.191, 0.309, 0.000)
Ga (0.109, 0.609, 0.500)
Ga (0.609, 0.891, 0.500)
Ga (0.891, 0.391, 0.500)
Ga (0.391, 0.109, 0.500)
Br (0.000, 0.000, 0.000)
Br (0.500, 0.500, 0.000)

Summary:
The space-group type is No. 127. As for the volume: 22.31 A^3/atom.

---

No. 20
A plane-wave DFT calculation with GGA-PBE was carried out for a relaxed MgGa3Br crystal.

abc: 5.259 5.259 5.259
angles: 90.00 90.00 90.00
Positions (direct):
Mg (0.000, 0.000, 0.000)
Ga (0.000, 0.500, 0.000)
Ga (0.000, 0.000, 0.500)
Ga (0.500, 0.000, 0.000)
Br (0.500, 0.500, 0.500)

Summary:
The value obtained for the excess energy over the best structure of this formula in the dataset is 0.0 meV per atom. The space-group type is No. 221. As for the volume: 29.09 A^3/atom.

---

| no. | ΔE_f (raw) (kJ/mol of formula units) | total DFT energy (no corrections) (eV per cell) | size of the total moment (μB per formula unit) |
| --- | --- | --- | --- |
| 1 | -1276.3 | -30.1 | 0.000 |
| 2 | -1301.8 | -35.8 | 0.000 |
| 3 | -1240.8 | -29.8 | 0.000 |
| 4 | -147.8 | -17.2 | 0.000 |
| 5 | -43.5 | -15.3 | 0.198 |
| 6 | -133.9 | -15.0 | 0.286 |
| 7 | -35.1 | -13.9 | 0.000 |
| 8 | -1395.6 | -36.1 | 0.000 |
| 9 | -713.9 | -55.5 | 0.000 |
| 10 | -594.9 | -43.6 | 0.000 |
| 11 | -1397.9 | -36.0 | 0.000 |
| 12 | -1397.8 | -37.8 | 0.000 |
| 13 | -883.3 | -53.4 | 0.000 |
| 14 | -73.3 | -17.8 | 0.000 |
| 15 | -240.8 | -13.4 | 0.000 |
| 16 | -201.9 | -11.7 | 0.001 |
| 17 | -503.7 | -29.7 | 0.000 |
| 18 | -527.7 | -60.4 | 0.000 |
| 19 | -131.5 | -24.6 | 0.000 |
| 20 | 105.7 | -11.3 | 0.000 |